SmY: relaxed, GGA-PBE.

Results
**Spin magnetization**: 0.000 μB/atom
**Distance to the lowest polymorph of the same formula**: 1 meV/atom
**Energy relative to the elements**: 3 kJ/mol of formula units
**Crystal system**: triclinic

a b c (Å): 3.5967 3.6038 11.9005
angles (deg): 98.46 90.14 119.93
Positions (direct):
Sm  0.1236  0.2490  0.3736
Sm  0.8764  0.7510  0.6264
Y  0.3740  0.7490  0.1234
Y  0.6260  0.2510  0.8766